Record 1
DFT (GGA-PBE) results for a relaxed Ac2Pm2CoAg2 crystal.

```
Ac2Pm2CoAg2
1.0
4.170 -0.003 -0.002
-0.003 7.291 -0.071
2.081 2.984 6.998
Ag Pm Co Ac
2 2 1 2
direct
0.887 0.427 0.228
0.113 0.573 0.772
0.517 0.766 0.967
0.483 0.234 0.033
0.000 0.000 0.000
0.797 0.795 0.405
0.203 0.205 0.595
```

Values from the calculation:
Energy relative to the elements   -3.08 kcal/mol of atoms
Volume   30.53 A^3/atom
Symmetry   P-1 (2)
Spin magnetization   0.00 μB/f.u.

=====

Record 2
DFT (GGA-PBE) results for a relaxed AcPrCoAg crystal.

```
AcPrCoAg
1.0
-2.214 4.161 2.385
-4.819 -0.426 2.120
-0.589 0.031 5.249
Ac Co Pr Ag
1 1 1 1
direct
0.750 0.750 0.750
0.000 0.000 0.000
0.250 0.250 0.250
0.500 0.500 0.500
```

Values from the calculation:
Energy relative to the elements   0.30 kcal/mol of atoms
Volume   26.05 A^3/atom
Symmetry   F-43m (216)
Spin magnetization   0.59 μB/f.u.

=====

Record 3
DFT (GGA-PBE) results for a relaxed Ac6CoAgRh2 crystal.

```
Ac6CoAgRh2
1.0
-3.723 -6.470 0.768
3.165 -5.727 3.674
-2.939 -1.777 7.429
Ac Co Rh Ag
6 1 2 1
direct
0.565 0.274 0.238
0.924 0.563 0.238
0.389 0.744 0.762
0.105 0.390 0.763
0.275 0.923 0.238
0.742 0.105 0.763
0.336 0.336 0.993
0.501 0.501 0.498
0.990 0.990 0.031
0.836 0.836 0.491
```

Values from the calculation:
Energy relative to the elements   -7.64 kcal/mol of atoms
Volume   33.89 A^3/atom
Symmetry   P1 (1)
Spin magnetization   0.00 μB/f.u.

=====

- What is the formula in the first record?
  Ac2Pm2CoAg2